1.
This record from Alexandria describes a relaxed LaRu2N2 crystal. The functional is GGA-PBE.

abc: 7.4444 7.4444 3.3264
angles: 90.00 90.00 90.00
With the nearest neighbours (Å) after each atom.
Space group P4/mbm (No. 127)
Inequivalent atoms, fractional coordinates:
La1 0.0000 0.0000 0.0000 x2  4 Ru 2.99, 8 N 3.17, 2 La 3.33
Ru1 0.1160 0.3840 0.0000 x4  2 N 1.86
N1 0.1948 0.3052 0.5000 x4  2 Ru 1.86

The calculation puts the total magnetic moment at 0.000 Bohr magnetons per cell. As for the energy above the most stable polymorph in this dataset: 25.1 kJ/mol of atoms. Its final energy is -38.656 eV/f.u.

=====

2.
This record from Alexandria describes a relaxed KAsSe2F crystal. The functional is GGA-PBE.

abc: 6.2979 6.2979 6.6016
angles: 90.00 90.00 90.00
With the nearest neighbours (Å) after each atom.
Space group P4/mmm (No. 123)
Inequivalent atoms, fractional coordinates:
K1 0.0000 0.0000 0.0000 x1  4 Se 3.15, 2 As 3.30
As1 0.0000 0.0000 0.5000 x1  2 K 3.30
Se1 0.0000 0.5000 0.0000 x2  2 K 3.15
F1 0.5000 0.5000 0.5000 x1  4 As 4.45, 8 Se 4.56

The calculation puts the total magnetic moment at 1.000 Bohr magnetons per cell. As for the energy above the most stable polymorph in this dataset: 103.3 kJ/mol of atoms. Its final energy is -10.067 eV/f.u.

=====

3.
This record from Alexandria describes a relaxed BaP2IrS8 crystal. The functional is GGA-PBE.

abc: 5.8689 5.8689 8.8367
angles: 90.00 90.00 120.00
With the nearest neighbours (Å) after each atom.
Space group P-3 (No. 147)
Inequivalent atoms, fractional coordinates:
Ba1 0.0000 0.0000 0.0000 x1  12 S 3.42-3.53
P1 0.3333 0.6667 0.7210 x2  4 S 2.02-2.10
Ir1 0.0000 0.0000 0.5000 x1  6 S 2.38
S1 0.0120 0.6823 0.3372 x6  1 P 2.10
S2 0.3333 0.6667 0.9496 x2  1 P 2.02

The calculation puts the total magnetic moment at 0.007 Bohr magnetons per cell. Its final energy is -60.874 eV/f.u.